(1)
Compound: SrIn2Co
Source: Alexandria
Functional: meta-GGA SCAN
Structure: PBEsol geometry

Geometry as extended XYZ:
```
4
Lattice="-2.500 2.500 3.530 2.500 -2.500 3.530 2.500 2.500 -3.530" Properties=species:S:1:pos:R:3 pbc="T T T"
Sr 0.000 0.000 0.000
In 2.500 0.000 1.765
In 0.000 0.000 3.530
Co 0.000 2.500 1.765
```

## Properties
The value obtained for the total energy is -26.56 eV/atom. The calculated density comes out at 7.1 g cm⁻³. The calculation puts the formation enthalpy at 0 K at 0.024 eV/atom. As for the crystal system: tetragonal.


(2)
Compound: Sr2InCo
Source: Alexandria
Functional: meta-GGA SCAN
Structure: PBEsol geometry

Geometry as extended XYZ:
```
4
Lattice="3.763 -3.772 0.000 3.763 3.772 0.000 0.000 0.000 3.922" Properties=species:S:1:pos:R:3 pbc="T T T"
Sr 1.881 1.886 0.000
Sr 1.881 -1.886 0.000
In 0.000 0.000 1.961
Co 3.763 0.000 1.961
```

## Properties
The value obtained for the total energy is -23.81 eV/atom. The calculated density comes out at 5.2 g cm⁻³. The calculation puts the formation enthalpy at 0 K at -0.004 eV/atom. As for the crystal system: orthorhombic.


(3)
Compound: SrIn2Co
Source: Alexandria
Functional: meta-GGA SCAN
Structure: PBEsol geometry

Geometry as extended XYZ:
```
4
Lattice="2.999 -4.842 0.000 2.999 4.842 0.000 0.000 0.000 3.156" Properties=species:S:1:pos:R:3 pbc="T T T"
Sr 0.000 0.000 0.000
In 1.499 2.421 1.578
In 1.499 -2.421 1.578
Co 2.999 0.000 0.000
```

## Properties
The value obtained for the total energy is -26.34 eV/atom. The calculated density comes out at 6.8 g cm⁻³. The calculation puts the formation enthalpy at 0 K at 0.246 eV/atom. As for the crystal system: orthorhombic.